This record from Alexandria via LeMat-Bulk describes a relaxed structure of LiMn2OF3. The functional is GGA+U.

abc: 6.305 6.305 6.415
angles: 60.57 60.57 60.00
Fractional positions:
Li (0.648, 0.648, 0.056)
Li (0.352, 0.352, 0.944)
Mn (0.000, 0.000, 0.000)
Mn (0.000, 0.500, 0.500)
Mn (0.000, 0.000, 0.500)
Mn (0.500, 0.000, 0.500)
O (0.775, 0.775, 0.675)
O (0.225, 0.225, 0.325)
F (0.747, 0.239, 0.774)
F (0.761, 0.253, 0.226)
F (0.239, 0.239, 0.774)
F (0.253, 0.761, 0.226)
F (0.761, 0.761, 0.226)
F (0.239, 0.747, 0.774)

V in Å³ per atom: 13.0
Energy in eV/atom: -6.288
Density in g cm⁻³: 3.5
Space-group type: R-3m